Y2TlAg, optimized geometry, DFT PBE-GGA; ρ = 7.1 Mg/m³; raw total energy = -4.493 eV per atom; relative energy among the computed polymorphs = 413 meV/atom; spin magnetization = 0.00 μB per formula unit
1.0
-2.513 3.813 2.031
-2.310 -3.124 -3.144
-2.753 -6.144 8.128
Tl Y Ag
2 4 2
direct
0.000 0.000 0.000
0.000 0.000 0.500
0.333 0.667 0.600
0.333 0.667 0.900
0.667 0.333 0.400
0.667 0.333 0.100
0.333 0.667 0.250
0.667 0.333 0.750

Y2TlAg, optimized geometry, DFT PBE-GGA; ρ = 7.2 Mg/m³; raw total energy = -4.569 eV per atom; relative energy among the computed polymorphs = 337 meV/atom; spin magnetization = 0.00 μB per formula unit
1.0
2.424 -4.199 0.000
2.424 4.199 0.000
0.000 0.000 11.121
Ag Y Tl
2 4 2
direct
0.000 0.000 0.500
0.000 0.000 0.000
0.333 0.667 0.898
0.667 0.333 0.398
0.333 0.667 0.602
0.667 0.333 0.102
0.667 0.333 0.750
0.333 0.667 0.250

Y2TlAg2, optimized geometry, DFT PBE-GGA; ρ = 7.2 Mg/m³; raw total energy = -4.178 eV per atom; spin magnetization = 0.00 μB per formula unit
1.0
-2.474 2.474 5.601
2.474 -2.474 5.601
2.474 2.474 -5.601
Y Ag Tl
2 2 1
direct
0.750 0.250 0.500
0.250 0.750 0.500
0.386 0.386 0.000
0.614 0.614 0.000
0.000 0.000 0.000

Y2TlAg, optimized geometry, DFT PBE-GGA; ρ = 7.9 Mg/m³; raw total energy = -4.884 eV per atom; relative energy among the computed polymorphs = 23 meV/atom; spin magnetization = 0.04 μB per formula unit
1.0
7.350 0.000 0.000
0.000 7.536 0.000
0.000 0.000 7.418
Tl Y Ag
4 8 4
direct
0.000 0.250 0.000
0.500 0.750 0.500
0.500 0.250 0.500
0.000 0.750 0.000
0.750 0.500 0.750
0.250 0.000 0.750
0.750 0.000 0.250
0.250 0.500 0.250
0.250 0.000 0.250
0.750 0.000 0.750
0.750 0.500 0.250
0.250 0.500 0.750
0.000 0.250 0.500
0.500 0.750 0.000
0.000 0.750 0.500
0.500 0.250 0.000

Y5Tl4Ag, optimized geometry, DFT PBE-GGA; ρ = 8.5 Mg/m³; raw total energy = -4.827 eV per atom; spin magnetization = 0.21 μB per formula unit
1.0
3.628 0.000 0.000
0.000 3.628 0.000
0.000 0.000 20.251
Y Tl Ag
5 4 1
direct
0.500 0.500 0.294
0.500 0.500 0.090
0.500 0.500 0.500
0.500 0.500 0.910
0.500 0.500 0.706
0.000 0.000 0.397
0.000 0.000 0.191
0.000 0.000 0.809
0.000 0.000 0.603
0.000 0.000 0.000

Y2TlAg, optimized geometry, DFT PBE-GGA; ρ = 7.5 Mg/m³; raw total energy = -4.583 eV per atom; relative energy among the computed polymorphs = 323 meV/atom; spin magnetization = 0.12 μB per formula unit
1.0
-3.604 2.400 -2.278
0.193 -4.885 -0.198
-5.824 -0.579 8.605
Ag Y Tl
2 4 2
direct
0.667 0.333 0.250
0.333 0.667 0.750
0.667 0.333 0.597
0.333 0.667 0.097
0.667 0.333 0.903
0.333 0.667 0.403
0.000 0.000 0.750
0.000 0.000 0.250

TlZn2Ag, optimized geometry, DFT PBE-GGA; ρ = 9.2 Mg/m³; raw total energy = -1.727 eV per atom
1.0
1.360 -2.549 3.881
1.455 2.287 4.008
-2.782 -0.049 3.958
Zn Tl Ag
2 1 1
direct
0.000 0.000 0.000
0.750 0.750 0.750
0.500 0.500 0.500
0.250 0.250 0.250

TlZnAg, optimized geometry, DFT PBE-GGA; ρ = 8.8 Mg/m³; raw total energy = -1.976 eV per atom; relative energy among the computed polymorphs = 0 meV/atom
1.0
-2.462 -3.314 2.167
-4.148 -1.300 -1.686
-0.504 -4.195 -1.972
Zn Tl Ag
1 1 1
direct
0.750 0.750 0.750
0.250 0.250 0.250
0.000 0.000 0.000

Zr2TlAg2, optimized geometry, DFT PBE-GGA; ρ = 8.5 Mg/m³; raw total energy = -4.720 eV per atom; spin magnetization = 0.00 μB per formula unit
1.0
-2.174 2.174 6.203
2.174 -2.174 6.203
2.174 2.174 -6.203
Zr Tl Ag
2 1 2
direct
0.250 0.750 0.500
0.750 0.250 0.500
0.000 0.000 0.000
0.397 0.397 0.000
0.603 0.603 0.000

Zr2Tl2Ag, optimized geometry, DFT PBE-GGA; ρ = 9.2 Mg/m³; raw total energy = -4.452 eV per atom; spin magnetization = 0.04 μB per formula unit
1.0
-2.115 2.115 7.017
2.115 -2.115 7.017
2.115 2.115 -7.017
Tl Ag Zr
2 1 2
direct
0.403 0.403 0.000
0.597 0.597 0.000
0.000 0.000 0.000
0.250 0.750 0.500
0.750 0.250 0.500

TmAg2, optimized geometry, DFT PBE-GGA; ρ = 10.3 Mg/m³; energy of formation from the pure elements = -0.34 eV/atom; raw total energy = -3.719 eV per atom; spin magnetization = 0.00 μB per formula unit
1.0
3.678 0.000 0.000
0.000 3.678 0.000
0.000 0.000 9.130
Ag Tm
4 2
direct
0.500 0.500 0.832
0.000 0.000 0.330
0.500 0.500 0.169
0.000 0.000 0.667
0.000 0.000 0.001
0.500 0.500 0.500

TmAg2, optimized geometry, DFT PBE-GGA; ρ = 10.3 Mg/m³; energy of formation from the pure elements = -0.35 eV/atom; raw total energy = -3.720 eV per atom; spin magnetization = 0.00 μB per formula unit
1.0
-3.264 1.011 -1.356
-1.680 -1.609 2.846
2.706 4.224 1.614
Ag Tm
2 1
direct
0.669 0.669 0.337
0.331 0.331 0.663
0.000 0.000 0.000

Please write out number 11 again, unchanged.
TmAg2, optimized geometry, DFT PBE-GGA; ρ = 10.3 Mg/m³; energy of formation from the pure elements = -0.34 eV/atom; raw total energy = -3.719 eV per atom; spin magnetization = 0.00 μB per formula unit
1.0
3.678 0.000 0.000
0.000 3.678 0.000
0.000 0.000 9.130
Ag Tm
4 2
direct
0.500 0.500 0.832
0.000 0.000 0.330
0.500 0.500 0.169
0.000 0.000 0.667
0.000 0.000 0.001
0.500 0.500 0.500

Please write out number 4 again, unchanged.
Y2TlAg, optimized geometry, DFT PBE-GGA; ρ = 7.9 Mg/m³; raw total energy = -4.884 eV per atom; relative energy among the computed polymorphs = 23 meV/atom; spin magnetization = 0.04 μB per formula unit
1.0
7.350 0.000 0.000
0.000 7.536 0.000
0.000 0.000 7.418
Tl Y Ag
4 8 4
direct
0.000 0.250 0.000
0.500 0.750 0.500
0.500 0.250 0.500
0.000 0.750 0.000
0.750 0.500 0.750
0.250 0.000 0.750
0.750 0.000 0.250
0.250 0.500 0.250
0.250 0.000 0.250
0.750 0.000 0.750
0.750 0.500 0.250
0.250 0.500 0.750
0.000 0.250 0.500
0.500 0.750 0.000
0.000 0.750 0.500
0.500 0.250 0.000